i) Entry from Alexandria: an optimized crystal structure of NaNbHg (PBE).

abc: 5.005 5.005 6.683
angles: 90.00 90.00 120.00
Atoms (fractional coordinates):
1 Hg 0.333 0.667 0.270
2 Hg 0.333 0.667 0.730
3 Na 0.667 0.333 0.500
4 Na 0.667 0.333 0.000
5 Nb 0.000 0.000 0.676
6 Nb 0.000 0.000 0.324

Output
Calculated volume (Å³/cell): 145.0
SG: P-6m2
Spin magnetization (μB/f.u.): 0.00

ii) Entry from Alexandria: an optimized crystal structure of NaNbHg (PBE).

abc: 3.007 8.841 5.535
angles: 106.13 71.02 89.89
Atoms (fractional coordinates):
1 Hg 0.003 0.021 0.195
2 Hg 0.861 0.540 0.398
3 Nb 0.618 0.268 0.006
4 Nb 0.246 0.293 0.586
5 Na 0.250 0.895 0.607
6 Na 0.612 0.665 0.986

Output
Calculated volume (Å³/cell): 133.0
SG: P-1
Spin magnetization (μB/f.u.): 0.00

Most stable: ii) (next structure +348 meV/atom)